# PBE NaY2Cu, optimized geometry
# Total moment ... 4.35 Bohr magnetons per cell
# Calculated formation energy ... 1.30 eV per formula unit
data_NaY2Cu
_chemical_formula_sum 'Na4 Y8 Cu4'
_cell_length_a 8.284
_cell_length_b 8.284
_cell_length_c 6.619
_cell_angle_alpha 90.00
_cell_angle_beta 90.00
_cell_angle_gamma 90.00
_space_group_name_H-M_alt 'I -4 2 d'
_space_group_IT_number 122
_space_group_name_Hall 'I -4 2bw'
loop_
_atom_site_label
_atom_site_type_symbol
_atom_site_fract_x
_atom_site_fract_y
_atom_site_fract_z
_atom_site_occupancy
Na1 Na 0.000 0.000 0.000 1
Y1 Y 0.192 0.250 0.625 1
Cu1 Cu 0.000 0.000 0.500 1

# PBE Cu2P, optimized geometry
# Total moment ... 0.00 Bohr magnetons per cell
# Calculated formation energy ... 0.26 eV per formula unit
data_Cu2P
_chemical_formula_sum 'Cu8 P4'
_cell_length_a 3.542
_cell_length_b 11.743
_cell_length_c 3.678
_cell_angle_alpha 90.00
_cell_angle_beta 90.00
_cell_angle_gamma 90.00
_space_group_name_H-M_alt 'C m c m'
_space_group_IT_number 63
_space_group_name_Hall '-C 2c 2'
loop_
_atom_site_label
_atom_site_type_symbol
_atom_site_fract_x
_atom_site_fract_y
_atom_site_fract_z
_atom_site_occupancy
Cu1 Cu 0.000 0.078 0.250 1
Cu2 Cu 0.000 0.258 0.750 1
P1 P 0.000 0.394 0.250 1

# PBE Nd7Sm3Er2, optimized geometry
# Total moment ... 0.00 Bohr magnetons per cell
# Calculated formation energy ... 1.22 eV per formula unit
data_Nd7Sm3Er2
_chemical_formula_sum 'Nd7 Sm3 Er2'
_cell_length_a 5.858
_cell_length_b 3.632
_cell_length_c 19.593
_cell_angle_alpha 90.00
_cell_angle_beta 98.49
_cell_angle_gamma 90.00
_space_group_name_H-M_alt 'P 1 2/m 1'
_space_group_IT_number 10
_space_group_name_Hall '-P 2y'
loop_
_atom_site_label
_atom_site_type_symbol
_atom_site_fract_x
_atom_site_fract_y
_atom_site_fract_z
_atom_site_occupancy
Nd1 Nd 0.000 0.000 0.000 1
Nd2 Nd 0.095 0.500 0.187 1
Nd3 Nd 0.268 0.500 0.536 1
Nd4 Nd 0.426 0.000 0.854 1
Sm1 Sm 0.184 0.000 0.368 1
Sm2 Sm 0.500 0.500 0.000 1
Er1 Er 0.351 0.500 0.703 1

# PBE HoNbRe, optimized geometry
# Total moment ... 0.00 Bohr magnetons per cell
# Calculated formation energy ... 0.32 eV per formula unit
data_HoNbRe
_chemical_formula_sum 'Ho16 Nb16 Re16'
_cell_length_a 5.105
_cell_length_b 9.793
_cell_length_c 20.189
_cell_angle_alpha 90.00
_cell_angle_beta 90.00
_cell_angle_gamma 90.00
_space_group_name_H-M_alt 'F d d d'
_space_group_IT_number 70
loop_
_space_group_symop_operation_xyz
'x,y,z'
'-x,-y,-z'
'-x+1/4,-y+1/4,z'
'x+1/4,y+1/4,-z'
'x,-y+1/4,-z+1/4'
'-x,y+1/4,z+1/4'
'-x+1/4,y,-z+1/4'
'x+1/4,-y,z+1/4'
'x,y+1/2,z+1/2'
'-x,-y+1/2,-z+1/2'
'-x+1/4,-y+3/4,z+1/2'
'x+1/4,y+3/4,-z+1/2'
'x,-y+3/4,-z+3/4'
'-x,y+3/4,z+3/4'
'-x+1/4,y+1/2,-z+3/4'
'x+1/4,-y+1/2,z+3/4'
'x+1/2,y,z+1/2'
'-x+1/2,-y,-z+1/2'
'-x+3/4,-y+1/4,z+1/2'
'x+3/4,y+1/4,-z+1/2'
'x+1/2,-y+1/4,-z+3/4'
'-x+1/2,y+1/4,z+3/4'
'-x+3/4,y,-z+3/4'
'x+3/4,-y,z+3/4'
'x+1/2,y+1/2,z'
'-x+1/2,-y+1/2,-z'
'-x+3/4,-y+3/4,z'
'x+3/4,y+3/4,-z'
'x+1/2,-y+3/4,-z+1/4'
'-x+1/2,y+3/4,z+1/4'
'-x+3/4,y+1/2,-z+1/4'
'x+3/4,-y+1/2,z+1/4'
loop_
_atom_site_label
_atom_site_type_symbol
_atom_site_fract_x
_atom_site_fract_y
_atom_site_fract_z
_atom_site_occupancy
Ho1 Ho 0.125 0.285 0.125 1
Nb1 Nb 0.125 0.125 0.538 1
Re1 Re 0.125 0.125 0.001 1